[1]
{
  "formula": "Sr2HgPb2",
  "functional": "PBE",
  "state": "relaxed",
  "lattice_angstrom": [[8.239, 0.000, 0.000], [0.000, 8.239, 0.000], [0.000, 0.000, 5.087]],
  "species": ["Pb", "Pb", "Pb", "Pb", "Hg", "Hg", "Sr", "Sr", "Sr", "Sr"],
  "fractional_positions": [[0.137, 0.363, 0.000], [0.637, 0.137, 0.000], [0.363, 0.863, 0.000], [0.863, 0.637, 0.000], [0.000, 0.000, 0.000], [0.500, 0.500, 0.000], [0.667, 0.833, 0.500], [0.333, 0.167, 0.500], [0.167, 0.667, 0.500], [0.833, 0.333, 0.500]],
  "dft_energy_ev_per_fu": -13.208,
  "m_tot_mub_per_fu": 0.0,
  "e_form_ev_per_atom": -0.43
}

[2]
{
  "formula": "SrHg2Pb",
  "functional": "PBE",
  "state": "relaxed",
  "lattice_angstrom": [[-0.666, -3.228, 3.711], [4.556, -1.812, -0.759], [1.772, 3.167, 3.073]],
  "species": ["Pb", "Hg", "Hg", "Sr"],
  "fractional_positions": [[0.500, 0.000, 0.500], [0.500, 0.500, 0.000], [0.000, 0.000, 0.000], [0.000, 0.500, 0.500]],
  "dft_energy_ev_per_fu": -7.347,
  "m_tot_mub_per_fu": 0.0,
  "e_form_ev_per_atom": -0.34
}

[3]
{
  "formula": "Sr5Hg2Pb",
  "functional": "PBE",
  "state": "relaxed",
  "lattice_angstrom": [[-4.693, 4.526, -5.759], [1.967, -5.809, -6.169], [-5.208, -3.670, 7.929]],
  "species": ["Sr", "Sr", "Sr", "Sr", "Sr", "Sr", "Sr", "Sr", "Sr", "Sr", "Hg", "Hg", "Hg", "Hg", "Pb", "Pb"],
  "fractional_positions": [[0.473, 0.317, 0.290], [0.527, 0.683, 0.710], [0.183, 0.027, 0.710], [0.317, 0.817, 0.290], [0.973, 0.473, 0.290], [0.817, 0.973, 0.290], [0.500, 0.500, 0.000], [0.683, 0.183, 0.710], [0.027, 0.527, 0.710], [0.000, 0.000, 0.000], [0.376, 0.876, 0.000], [0.624, 0.124, 0.000], [0.876, 0.624, 0.000], [0.124, 0.376, 0.000], [0.250, 0.250, 0.500], [0.750, 0.750, 0.500]],
  "dft_energy_ev_per_fu": -16.328,
  "m_tot_mub_per_fu": 0.0,
  "e_form_ev_per_atom": -0.45
}

[4]
{
  "formula": "Sr3Hg5Pb",
  "functional": "PBE",
  "state": "relaxed",
  "lattice_angstrom": [[-4.030, -2.779, -4.566], [5.645, -7.873, -0.190], [-7.405, 0.503, 6.230]],
  "species": ["Hg", "Hg", "Hg", "Hg", "Hg", "Hg", "Hg", "Hg", "Hg", "Hg", "Pb", "Pb", "Sr", "Sr", "Sr", "Sr", "Sr", "Sr"],
  "fractional_positions": [[0.250, 0.000, 0.691], [0.500, 0.333, 0.667], [0.250, 0.691, 0.000], [0.250, 0.309, 0.309], [0.500, 0.667, 0.333], [0.000, 0.667, 0.333], [0.750, 0.309, 0.000], [0.000, 0.333, 0.667], [0.750, 0.000, 0.309], [0.750, 0.691, 0.691], [0.500, 0.000, 0.000], [0.000, 0.000, 0.000], [0.750, 0.643, 0.000], [0.750, 0.000, 0.643], [0.250, 0.643, 0.643], [0.250, 0.357, 0.000], [0.250, 0.000, 0.357], [0.750, 0.357, 0.357]],
  "dft_energy_ev_per_fu": -14.445,
  "m_tot_mub_per_fu": 0.0,
  "e_form_ev_per_atom": -0.46
}

[5]
{
  "formula": "Sr2HgPb",
  "functional": "PBE",
  "state": "relaxed",
  "lattice_angstrom": [[-3.766, -3.615, -4.110], [-5.376, -3.852, -0.630], [-4.250, 3.641, -1.718]],
  "species": ["Hg", "Sr", "Sr", "Pb"],
  "fractional_positions": [[0.516, 0.516, 0.548], [0.984, 0.984, 0.056], [0.773, 0.773, 0.683], [0.227, 0.227, 0.214]],
  "dft_energy_ev_per_fu": -9.146,
  "m_tot_mub_per_fu": 0.0,
  "e_form_ev_per_atom": -0.44
}

[6]
{
  "formula": "Sr2HgPb2",
  "functional": "PBE",
  "state": "relaxed",
  "lattice_angstrom": [[-0.293, 4.399, 0.537], [-4.066, -0.053, -1.788], [-5.920, 0.880, 7.917]],
  "species": ["Sr", "Sr", "Pb", "Pb", "Hg"],
  "fractional_positions": [[0.400, 0.400, 0.200], [0.600, 0.600, 0.800], [0.250, 0.750, 0.500], [0.750, 0.250, 0.500], [0.000, 0.000, 0.000]],
  "dft_energy_ev_per_fu": -12.355,
  "m_tot_mub_per_fu": 0.0,
  "e_form_ev_per_atom": -0.25
}

[7]
{
  "formula": "SrHg6Pb2",
  "functional": "PBE",
  "state": "relaxed",
  "lattice_angstrom": [[6.096, 0.000, 0.000], [-3.048, 5.279, 0.000], [0.000, 0.000, 9.047]],
  "species": ["Sr", "Pb", "Pb", "Hg", "Hg", "Hg", "Hg", "Hg", "Hg"],
  "fractional_positions": [[0.000, 0.000, 0.000], [0.333, 0.667, 0.500], [0.667, 0.333, 0.500], [0.499, 0.499, 0.183], [0.000, 0.501, 0.183], [0.501, 0.501, 0.817], [0.000, 0.499, 0.817], [0.499, 0.000, 0.817], [0.501, 0.000, 0.183]],
  "dft_energy_ev_per_fu": -11.419,
  "m_tot_mub_per_fu": 0.0,
  "e_form_ev_per_atom": -0.06
}

[8]
{
  "formula": "SrHg2Pb5",
  "functional": "PBE",
  "state": "relaxed",
  "lattice_angstrom": [[-2.625, -3.927, 0.297], [4.558, -5.686, 2.813], [-2.387, -0.698, 7.405]],
  "species": ["Pb", "Pb", "Pb", "Pb", "Pb", "Hg", "Hg", "Sr"],
  "fractional_positions": [[0.652, 0.162, 0.534], [0.348, 0.838, 0.466], [0.348, 0.466, 0.838], [0.652, 0.534, 0.162], [0.000, 0.500, 0.500], [0.295, 0.205, 0.205], [0.705, 0.795, 0.795], [0.000, 0.000, 0.000]],
  "dft_energy_ev_per_fu": -21.914,
  "m_tot_mub_per_fu": 0.0,
  "e_form_ev_per_atom": -0.14
}